# 1
Density functional theory data (GGA-PBE) for a relaxed structure of Hf2GaCo.

abc: 7.1137 7.1137 5.8263
angles: 52.37 52.37 90.00
Closest atoms and distances in Å follow each position.
Sites, in units of the cell vectors:
Ga (0.0000, 0.0000, 0.0000)  4 Hf 2.83, 2 Co 2.94
Hf (0.8750, 0.8326, 0.7500)  2 Co 2.43
Hf (0.1674, 0.6250, 0.2500)  2 Co 2.43
Hf (0.5826, 0.1250, 0.2500)  2 Co 2.43
Hf (0.3750, 0.4174, 0.7500)  2 Co 2.43
Co (0.5000, 0.5000, 0.0000)  4 Hf 2.43
Ga (0.7500, 0.2500, 0.5000)  4 Hf 2.83, 2 Co 2.94
Co (0.2500, 0.7500, 0.5000)  4 Hf 2.43

- raw total energy (eV for the cell shown) = -59.80
- mass density (g/cm³) = 10.8
- D(E_F) (states/eV/atom) = 0.588

---

# 2
Density functional theory data (GGA-PBE) for a relaxed structure of CrSnSe2Cl.

abc: 5.4770 4.4066 5.4770
angles: 90.00 90.00 90.00
Closest atoms and distances in Å follow each position.
Sites, in units of the cell vectors:
Sn (0.5000, 0.5000, 0.5000)  8 Se 3.51, 4 Cr 3.87
Cl (0.0000, 0.0000, 0.0000)  2 Cr 2.20
Cr (0.0000, 0.5000, 0.0000)  2 Cl 2.20
Se (0.0000, 0.0000, 0.5000)  2 Cl 2.74
Se (0.5000, 0.0000, 0.0000)  2 Cl 2.74

- mass density (g/cm³) = 4.6
- uncorrected formation energy (eV/atom) = 0.4963
- D(E_F) (states/eV/atom) = 0.514

---

# 3
Density functional theory data (GGA-PBE) for a relaxed structure of BaIn6Ag2.

abc: 5.2862 5.2862 8.8503
angles: 90.00 90.00 90.00
Closest atoms and distances in Å follow each position.
Sites, in units of the cell vectors:
Ag (0.5000, 0.5000, 0.1551)  1 Ag 2.74, 5 In 2.92-3.05
In (0.5000, 0.5000, 0.5000)  2 Ag 3.05, 8 In 3.20
In (0.0000, 0.5000, 0.7045)  2 Ag 2.92, 4 In 3.20
In (0.0000, 0.5000, 0.2955)  2 Ag 2.92, 4 In 3.20
In (0.5000, 0.0000, 0.2955)  2 Ag 2.92, 4 In 3.20
In (0.5000, 0.0000, 0.7045)  2 Ag 2.92, 4 In 3.20
Ag (0.5000, 0.5000, 0.8449)  1 Ag 2.74, 5 In 2.92-3.05
In (0.0000, 0.0000, 0.5000)  8 In 3.20
Ba (0.0000, 0.0000, 0.0000)  8 In 3.72, 8 Ag 3.98

- energy above the most stable polymorph in this dataset (meV per atom) = 0.0
- mass density (g/cm³) = 7.0
- D(E_F) (states/eV/atom) = 0.445